# 1
Below is a geometry-optimized HoLuMg6 structure, with properties calculated at the PBE-GGA level.

Geometry as POSCAR:
```
HoLuMg6
1.0
-3.2917 -0.6033 3.7613
4.1157 2.9531 4.0755
-1.0469 6.4157 0.1128
Mg Lu Ho
6 1 1
Direct
0.5000 0.1701 0.1701 Mg
0.0000 0.8889 0.3178 Mg
0.5000 0.1110 0.6831 Mg
0.0000 0.8288 0.8288 Mg
0.0000 0.3178 0.8889 Mg
0.5000 0.6831 0.1110 Mg
0.5000 0.6258 0.6258 Lu
0.0000 0.3744 0.3744 Ho
```

Properties
Uncorrected energy (eV per atom): -2.3454
Space-group type: Amm2 (38)
V (Å³/atom): 24.8

# 2
Below is a geometry-optimized HoLu2N3 structure, with properties calculated at the PBE-GGA level.

Geometry as POSCAR:
```
HoLu2N3
1.0
-1.5475 -2.8844 -0.8314
1.2482 0.4107 3.1111
-7.2283 3.1626 2.4825
N Lu Ho
3 2 1
Direct
0.0000 0.0000 0.0000 N
0.6667 0.3333 0.6713 N
0.3333 0.6667 0.3287 N
0.3333 0.6667 0.8354 Lu
0.6667 0.3333 0.1646 Lu
0.0000 0.0000 0.5000 Ho
```

Properties
Uncorrected energy (eV per atom): -8.2640
Space-group type: P-3m1 (164)
V (Å³/atom): 13.6

# 3
Below is a geometry-optimized NaHoLu structure, with properties calculated at the PBE-GGA level.

Geometry as POSCAR:
```
NaHoLu
1.0
-2.4406 -3.8030 2.6940
-5.0730 0.5297 1.2887
-3.6385 -2.9768 -2.3616
Ho Lu Na
1 1 1
Direct
0.2500 0.2500 0.2500 Ho
0.7500 0.7500 0.7500 Lu
0.0000 0.0000 0.0000 Na
```

Properties
Space-group type: F-43m (216)
Energy relative to the lowest polymorph listed for this composition (meV/atom): 0
V (Å³/atom): 34.3

# 4
Below is a geometry-optimized HoLuNb structure, with properties calculated at the PBE-GGA level.

Geometry as POSCAR:
```
HoLuNb
1.0
-2.6766 -3.7541 -1.9720
-4.9703 0.4512 -0.4887
-2.0367 0.4959 -4.5555
Ho Nb Lu
1 1 1
Direct
0.0000 0.0000 0.0000 Ho
0.7500 0.7500 0.7500 Nb
0.5000 0.5000 0.5000 Lu
```

Properties
Space-group type: F-43m (216)
Energy relative to the lowest polymorph listed for this composition (meV/atom): 0
V (Å³/atom): 29.7
Energy of formation (eV per atom): 0.7896

# 5
Below is a geometry-optimized HoLuNi2 structure, with properties calculated at the PBE-GGA level.

Geometry as POSCAR:
```
HoLuNi2
1.0
-1.0674 1.6770 -4.9606
3.2670 -2.0484 -1.3954
-3.9358 -5.6032 -0.9894
Ni Lu Ho
4 2 2
Direct
0.6287 0.7500 0.4637 Ni
0.1256 0.2500 0.0384 Ni
0.3713 0.2500 0.5363 Ni
0.8744 0.7500 0.9616 Ni
0.8686 0.2500 0.6786 Lu
0.1314 0.7500 0.3214 Lu
0.6325 0.2500 0.1812 Ho
0.3675 0.7500 0.8188 Ho
```

Properties
Space-group type: P2_1/m (11)
V (Å³/atom): 19.0
Energy of formation (eV per atom): -0.5001

# 6
Below is a geometry-optimized HoLu3Ni4 structure, with properties calculated at the PBE-GGA level.

Geometry as POSCAR:
```
HoLu3Ni4
1.0
-4.4854 -2.8876 0.2445
0.6136 -0.6150 3.9943
-3.5738 5.7331 1.4318
Lu Ni Ho
3 4 1
Direct
0.3668 0.5000 0.3182 Lu
0.8688 0.0000 0.1798 Lu
0.1317 0.5000 0.8215 Lu
0.6276 0.5000 0.9661 Ni
0.1283 0.0000 0.5357 Ni
0.3708 0.0000 0.0396 Ni
0.8748 0.5000 0.4601 Ni
0.6313 0.0000 0.6790 Ho
```

Properties
Space-group type: Pm (6)
V (Å³/atom): 18.8
Energy of formation (eV per atom): -0.5151